[1]
Density functional theory data (PBE-GGA) for a relaxed Li3Tm2Hg4 crystal.

Energy above the most stable polymorph in this dataset = 0.009 eV/atom
N(E_F) = 9.6 states/eV/cell
E_tot = -38.009 eV/cell
Total moment = 0.000 μB per formula unit

CIF file:
```
data_Li3Tm2Hg4
_chemical_formula_sum 'Li6 Tm4 Hg8'
_cell_length_a 5.967
_cell_length_b 8.202
_cell_length_c 8.319
_cell_angle_alpha 90.00
_cell_angle_beta 111.02
_cell_angle_gamma 90.00
_space_group_name_H-M_alt 'P 1'
_space_group_IT_number 1
loop_
_space_group_symop_operation_xyz
'x,y,z'
loop_
_atom_site_label
_atom_site_type_symbol
_atom_site_fract_x
_atom_site_fract_y
_atom_site_fract_z
_atom_site_occupancy
Li1 Li 0.000 0.000 0.000 1
Li2 Li 0.500 0.500 0.000 1
Li3 Li 0.532 0.750 0.564 1
Li4 Li 0.968 0.250 0.436 1
Li5 Li 0.468 0.250 0.436 1
Li6 Li 0.032 0.750 0.564 1
Tm1 Tm 0.114 0.583 0.229 1
Tm2 Tm 0.886 0.417 0.771 1
Tm3 Tm 0.386 0.083 0.771 1
Tm4 Tm 0.614 0.917 0.229 1
Hg1 Hg 0.704 0.750 0.908 1
Hg2 Hg 0.796 0.250 0.092 1
Hg3 Hg 0.296 0.250 0.092 1
Hg4 Hg 0.204 0.750 0.908 1
Hg5 Hg 0.183 0.960 0.365 1
Hg6 Hg 0.817 0.040 0.635 1
Hg7 Hg 0.317 0.460 0.635 1
Hg8 Hg 0.683 0.540 0.365 1
```



[2]
Density functional theory data (PBE-GGA) for a relaxed LiTmHg2 crystal.

Energy above the most stable polymorph in this dataset = 0.029 eV/atom
N(E_F) = 2.4 states/eV/cell
E_tot = -8.593 eV/cell
Total moment = 0.000 μB per formula unit

CIF file:
```
data_LiTmHg2
_chemical_formula_sum 'Li1 Tm1 Hg2'
_cell_length_a 3.441
_cell_length_b 5.139
_cell_length_c 5.139
_cell_angle_alpha 90.00
_cell_angle_beta 90.00
_cell_angle_gamma 90.00
_space_group_name_H-M_alt 'P 1'
_space_group_IT_number 1
loop_
_space_group_symop_operation_xyz
'x,y,z'
loop_
_atom_site_label
_atom_site_type_symbol
_atom_site_fract_x
_atom_site_fract_y
_atom_site_fract_z
_atom_site_occupancy
Tm1 Tm 0.500 0.500 0.500 1
Hg1 Hg 0.000 0.000 0.500 1
Hg2 Hg 0.000 0.500 0.000 1
Li1 Li 0.500 0.000 0.000 1
```



[3]
Density functional theory data (PBE-GGA) for a relaxed Li3TmHg3 crystal.

N(E_F) = 11.4 states/eV/cell
E_tot = -20.966 eV/cell
Total moment = 0.000 μB per formula unit

CIF file:
```
data_Li3TmHg3
_chemical_formula_sum 'Li6 Tm2 Hg6'
_cell_length_a 6.980
_cell_length_b 6.980
_cell_length_c 6.980
_cell_angle_alpha 90.00
_cell_angle_beta 90.00
_cell_angle_gamma 90.00
_space_group_name_H-M_alt 'P 1'
_space_group_IT_number 1
loop_
_space_group_symop_operation_xyz
'x,y,z'
loop_
_atom_site_label
_atom_site_type_symbol
_atom_site_fract_x
_atom_site_fract_y
_atom_site_fract_z
_atom_site_occupancy
Tm1 Tm 0.500 0.500 0.500 1
Tm2 Tm 0.000 0.000 0.000 1
Hg1 Hg 0.250 0.000 0.500 1
Hg2 Hg 0.000 0.500 0.250 1
Hg3 Hg 0.500 0.750 0.000 1
Hg4 Hg 0.750 0.000 0.500 1
Hg5 Hg 0.000 0.500 0.750 1
Hg6 Hg 0.500 0.250 0.000 1
Li1 Li 0.000 0.250 0.500 1
Li2 Li 0.000 0.750 0.500 1
Li3 Li 0.500 0.000 0.750 1
Li4 Li 0.750 0.500 0.000 1
Li5 Li 0.500 0.000 0.250 1
Li6 Li 0.250 0.500 0.000 1
```



[4]
Density functional theory data (PBE-GGA) for a relaxed LiTm4Hg5 crystal.

N(E_F) = 5.4 states/eV/cell
E_tot = -25.746 eV/cell
Total moment = 0.000 μB per formula unit

CIF file:
```
data_LiTm4Hg5
_chemical_formula_sum 'Li1 Tm4 Hg5'
_cell_length_a 3.624
_cell_length_b 3.624
_cell_length_c 18.098
_cell_angle_alpha 90.00
_cell_angle_beta 90.00
_cell_angle_gamma 90.00
_space_group_name_H-M_alt 'P 1'
_space_group_IT_number 1
loop_
_space_group_symop_operation_xyz
'x,y,z'
loop_
_atom_site_label
_atom_site_type_symbol
_atom_site_fract_x
_atom_site_fract_y
_atom_site_fract_z
_atom_site_occupancy
Li1 Li 0.000 0.000 0.000 1
Tm1 Tm 0.000 0.000 0.191 1
Tm2 Tm 0.000 0.000 0.397 1
Tm3 Tm 0.000 0.000 0.603 1
Tm4 Tm 0.000 0.000 0.809 1
Hg1 Hg 0.500 0.500 0.090 1
Hg2 Hg 0.500 0.500 0.295 1
Hg3 Hg 0.500 0.500 0.500 1
Hg4 Hg 0.500 0.500 0.705 1
Hg5 Hg 0.500 0.500 0.910 1
```



[5]
Density functional theory data (PBE-GGA) for a relaxed Li2TmHg3 crystal.

Energy above the most stable polymorph in this dataset = 0.000 eV/atom
N(E_F) = 6.5 states/eV/cell
E_tot = -23.092 eV/cell
Total moment = 0.000 μB per formula unit

CIF file:
```
data_Li2TmHg3
_chemical_formula_sum 'Li4 Tm2 Hg6'
_cell_length_a 4.903
_cell_length_b 4.903
_cell_length_c 12.042
_cell_angle_alpha 90.00
_cell_angle_beta 90.00
_cell_angle_gamma 120.00
_space_group_name_H-M_alt 'P 1'
_space_group_IT_number 1
loop_
_space_group_symop_operation_xyz
'x,y,z'
loop_
_atom_site_label
_atom_site_type_symbol
_atom_site_fract_x
_atom_site_fract_y
_atom_site_fract_z
_atom_site_occupancy
Li1 Li 0.000 0.000 0.500 1
Li2 Li 0.333 0.667 0.163 1
Li3 Li 0.667 0.333 0.837 1
Li4 Li 0.000 0.000 0.000 1
Tm1 Tm 0.333 0.667 0.672 1
Tm2 Tm 0.667 0.333 0.328 1
Hg1 Hg 0.333 0.667 0.420 1
Hg2 Hg 0.667 0.333 0.074 1
Hg3 Hg 0.000 0.000 0.765 1
Hg4 Hg 0.000 0.000 0.235 1
Hg5 Hg 0.333 0.667 0.926 1
Hg6 Hg 0.667 0.333 0.580 1
```



[6]
Density functional theory data (PBE-GGA) for a relaxed LiTm5Hg6 crystal.

N(E_F) = 7.5 states/eV/cell
E_tot = -31.608 eV/cell
Total moment = 0.000 μB per formula unit

CIF file:
```
data_LiTm5Hg6
_chemical_formula_sum 'Li1 Tm5 Hg6'
_cell_length_a 5.137
_cell_length_b 7.252
_cell_length_c 8.137
_cell_angle_alpha 90.00
_cell_angle_beta 71.44
_cell_angle_gamma 90.01
_space_group_name_H-M_alt 'P 1'
_space_group_IT_number 1
loop_
_space_group_symop_operation_xyz
'x,y,z'
loop_
_atom_site_label
_atom_site_type_symbol
_atom_site_fract_x
_atom_site_fract_y
_atom_site_fract_z
_atom_site_occupancy
Tm1 Tm 0.668 0.500 0.665 1
Tm2 Tm 0.337 0.000 0.326 1
Tm3 Tm 0.000 0.500 0.000 1
Tm4 Tm 0.663 0.000 0.674 1
Tm5 Tm 0.332 0.500 0.335 1
Hg1 Hg 0.837 0.757 0.326 1
Hg2 Hg 0.837 0.243 0.326 1
Hg3 Hg 0.500 0.247 0.000 1
Hg4 Hg 0.500 0.753 0.000 1
Hg5 Hg 0.163 0.757 0.674 1
Hg6 Hg 0.163 0.243 0.674 1
Li1 Li 0.000 0.000 0.000 1
```



[7]
Density functional theory data (PBE-GGA) for a relaxed LiTm3Hg2 crystal.

N(E_F) = 12.2 states/eV/cell
E_tot = -35.627 eV/cell
Total moment = 0.000 μB per formula unit

CIF file:
```
data_LiTm3Hg2
_chemical_formula_sum 'Li2 Tm6 Hg4'
_cell_length_a 5.062
_cell_length_b 7.515
_cell_length_c 8.962
_cell_angle_alpha 114.79
_cell_angle_beta 106.40
_cell_angle_gamma 90.00
_space_group_name_H-M_alt 'P 1'
_space_group_IT_number 1
loop_
_space_group_symop_operation_xyz
'x,y,z'
loop_
_atom_site_label
_atom_site_type_symbol
_atom_site_fract_x
_atom_site_fract_y
_atom_site_fract_z
_atom_site_occupancy
Li1 Li 0.000 0.500 0.000 1
Li2 Li 0.000 0.000 0.000 1
Tm1 Tm 0.500 0.250 0.000 1
Tm2 Tm 0.500 0.750 0.000 1
Tm3 Tm 0.831 0.081 0.661 1
Tm4 Tm 0.169 0.419 0.339 1
Tm5 Tm 0.169 0.919 0.339 1
Tm6 Tm 0.831 0.581 0.661 1
Hg1 Hg 0.344 0.344 0.688 1
Hg2 Hg 0.656 0.156 0.312 1
Hg3 Hg 0.344 0.844 0.688 1
Hg4 Hg 0.656 0.656 0.312 1
```



[8]
Density functional theory data (PBE-GGA) for a relaxed Li2Tm3Hg8 crystal.

N(E_F) = 7.4 states/eV/cell
E_tot = -21.326 eV/cell
Total moment = 0.000 μB per formula unit

CIF file:
```
data_Li2Tm3Hg8
_chemical_formula_sum 'Li2 Tm3 Hg8'
_cell_length_a 5.973
_cell_length_b 5.973
_cell_length_c 10.994
_cell_angle_alpha 74.24
_cell_angle_beta 74.24
_cell_angle_gamma 60.00
_space_group_name_H-M_alt 'P 1'
_space_group_IT_number 1
loop_
_space_group_symop_operation_xyz
'x,y,z'
loop_
_atom_site_label
_atom_site_type_symbol
_atom_site_fract_x
_atom_site_fract_y
_atom_site_fract_z
_atom_site_occupancy
Li1 Li 0.626 0.626 0.121 1
Li2 Li 0.374 0.374 0.879 1
Tm1 Tm 0.000 0.000 0.000 1
Tm2 Tm 0.806 0.806 0.581 1
Tm3 Tm 0.194 0.194 0.419 1
Hg1 Hg 0.707 0.707 0.879 1
Hg2 Hg 0.293 0.293 0.121 1
Hg3 Hg 0.225 0.726 0.322 1
Hg4 Hg 0.726 0.225 0.322 1
Hg5 Hg 0.726 0.726 0.322 1
Hg6 Hg 0.274 0.775 0.678 1
Hg7 Hg 0.775 0.274 0.678 1
Hg8 Hg 0.274 0.274 0.678 1
```



[9]
Density functional theory data (PBE-GGA) for a relaxed LiTmHg crystal.

Energy above the most stable polymorph in this dataset = 0.000 eV/atom
N(E_F) = 5.1 states/eV/cell
E_tot = -15.106 eV/cell
Total moment = 0.431 μB per formula unit

CIF file:
```
data_LiTmHg
_chemical_formula_sum 'Li2 Tm2 Hg2'
_cell_length_a 3.569
_cell_length_b 3.571
_cell_length_c 10.617
_cell_angle_alpha 89.97
_cell_angle_beta 90.18
_cell_angle_gamma 90.00
_space_group_name_H-M_alt 'P 1'
_space_group_IT_number 1
loop_
_space_group_symop_operation_xyz
'x,y,z'
loop_
_atom_site_label
_atom_site_type_symbol
_atom_site_fract_x
_atom_site_fract_y
_atom_site_fract_z
_atom_site_occupancy
Li1 Li 0.871 0.291 0.828 1
Li2 Li 0.374 0.791 0.685 1
Tm1 Tm 0.871 0.291 0.143 1
Tm2 Tm 0.374 0.791 0.370 1
Hg1 Hg 0.875 0.291 0.548 1
Hg2 Hg 0.370 0.792 0.964 1
```



[10]
Density functional theory data (PBE-GGA) for a relaxed LiTm2Hg3 crystal.

Energy above the most stable polymorph in this dataset = 0.000 eV/atom
N(E_F) = 6.6 states/eV/cell
E_tot = -28.907 eV/cell
Total moment = 0.000 μB per formula unit

CIF file:
```
data_LiTm2Hg3
_chemical_formula_sum 'Li2 Tm4 Hg6'
_cell_length_a 5.073
_cell_length_b 5.073
_cell_length_c 12.386
_cell_angle_alpha 90.00
_cell_angle_beta 90.00
_cell_angle_gamma 120.00
_space_group_name_H-M_alt 'P 1'
_space_group_IT_number 1
loop_
_space_group_symop_operation_xyz
'x,y,z'
loop_
_atom_site_label
_atom_site_type_symbol
_atom_site_fract_x
_atom_site_fract_y
_atom_site_fract_z
_atom_site_occupancy
Li1 Li 0.333 0.667 0.665 1
Li2 Li 0.667 0.333 0.335 1
Tm1 Tm 0.000 0.000 0.500 1
Tm2 Tm 0.333 0.667 0.177 1
Tm3 Tm 0.667 0.333 0.823 1
Tm4 Tm 0.000 0.000 0.000 1
Hg1 Hg 0.333 0.667 0.423 1
Hg2 Hg 0.667 0.333 0.088 1
Hg3 Hg 0.000 0.000 0.746 1
Hg4 Hg 0.000 0.000 0.254 1
Hg5 Hg 0.333 0.667 0.912 1
Hg6 Hg 0.667 0.333 0.577 1
```



[11]
Density functional theory data (PBE-GGA) for a relaxed LiTm3Hg12 crystal.

N(E_F) = 6.5 states/eV/cell
E_tot = -23.152 eV/cell
Total moment = 0.000 μB per formula unit

CIF file:
```
data_LiTm3Hg12
_chemical_formula_sum 'Li1 Tm3 Hg12'
_cell_length_a 4.494
_cell_length_b 4.494
_cell_length_c 18.614
_cell_angle_alpha 90.00
_cell_angle_beta 90.00
_cell_angle_gamma 90.00
_space_group_name_H-M_alt 'P 1'
_space_group_IT_number 1
loop_
_space_group_symop_operation_xyz
'x,y,z'
loop_
_atom_site_label
_atom_site_type_symbol
_atom_site_fract_x
_atom_site_fract_y
_atom_site_fract_z
_atom_site_occupancy
Li1 Li 0.000 0.000 0.000 1
Tm1 Tm 0.000 0.000 0.240 1
Tm2 Tm 0.000 0.000 0.500 1
Tm3 Tm 0.000 0.000 0.760 1
Hg1 Hg 0.500 0.500 0.000 1
Hg2 Hg 0.500 0.500 0.247 1
Hg3 Hg 0.500 0.500 0.500 1
Hg4 Hg 0.500 0.500 0.753 1
Hg5 Hg 0.500 0.000 0.119 1
Hg6 Hg 0.500 0.000 0.373 1
Hg7 Hg 0.500 0.000 0.627 1
Hg8 Hg 0.500 0.000 0.881 1
Hg9 Hg 0.000 0.500 0.119 1
Hg10 Hg 0.000 0.500 0.373 1
Hg11 Hg 0.000 0.500 0.627 1
Hg12 Hg 0.000 0.500 0.881 1
```



[12]
Density functional theory data (PBE-GGA) for a relaxed LiTm2Hg3 crystal.

Energy above the most stable polymorph in this dataset = 0.168 eV/atom
N(E_F) = 7.5 states/eV/cell
E_tot = -26.893 eV/cell
Total moment = 0.000 μB per formula unit

CIF file:
```
data_LiTm2Hg3
_chemical_formula_sum 'Li2 Tm4 Hg6'
_cell_length_a 3.758
_cell_length_b 7.118
_cell_length_c 11.597
_cell_angle_alpha 90.00
_cell_angle_beta 99.32
_cell_angle_gamma 90.00
_space_group_name_H-M_alt 'P 1'
_space_group_IT_number 1
loop_
_space_group_symop_operation_xyz
'x,y,z'
loop_
_atom_site_label
_atom_site_type_symbol
_atom_site_fract_x
_atom_site_fract_y
_atom_site_fract_z
_atom_site_occupancy
Li1 Li 0.349 0.750 0.697 1
Li2 Li 0.651 0.250 0.303 1
Tm1 Tm 0.158 0.750 0.315 1
Tm2 Tm 0.842 0.250 0.685 1
Tm3 Tm 0.983 0.750 0.966 1
Tm4 Tm 0.017 0.250 0.034 1
Hg1 Hg 0.426 0.466 0.851 1
Hg2 Hg 0.574 0.534 0.149 1
Hg3 Hg 0.426 0.034 0.851 1
Hg4 Hg 0.574 0.966 0.149 1
Hg5 Hg 0.762 0.750 0.524 1
Hg6 Hg 0.238 0.250 0.476 1
```



Question: Which of these has the lowest N(E_F)?
Answer: LiTmHg2